The following is a DFT calculation (PBE) of a geometry-optimized Ge3NF structure.

Lattice parameters (Å, degrees): 4.437 4.437 4.437 90.00 90.00 90.00
Positions (direct):
1 Ge 0.000 0.000 0.500
2 Ge 0.000 0.500 0.000
3 Ge 0.500 0.000 0.000
4 N 0.000 0.000 0.000
5 F 0.500 0.500 0.500

Values from the calculation:
Energy relative to the lowest polymorph listed for this composition: 0.0 meV per atom
Space group: No. 221
Volume: 17.466 Å³/atom
E_form (uncorrected): 0.43 eV/atom
N(E_F): 0.647 states/eV/atom
E_tot: -21.9 eV per cell
M_tot: 0.00 Bohr magnetons per cell


The following is a DFT calculation (PBE) of a geometry-optimized GeN2F structure.

Lattice parameters (Å, degrees): 5.650 5.650 5.650 127.86 127.86 76.85
Positions (direct):
1 Ge 0.000 0.000 0.000
2 Ge 0.750 0.250 0.500
3 N 0.036 0.625 0.911
4 N 0.375 0.286 0.411
5 N 0.714 0.125 0.089
6 N 0.875 0.964 0.589
7 F 0.250 0.750 0.500
8 F 0.500 0.500 0.000

Values from the calculation:
Energy relative to the lowest polymorph listed for this composition: 283.6 meV per atom
Space group: No. 122
Volume: 13.645 Å³/atom
E_form (uncorrected): 0.98 eV/atom
N(E_F): 0.248 states/eV/atom
E_tot: -38.4 eV per cell
M_tot: 6.00 Bohr magnetons per cell


The following is a DFT calculation (PBE) of a geometry-optimized GeN2F5 structure.

Lattice parameters (Å, degrees): 3.840 6.346 6.423 79.20 74.44 74.13
Positions (direct):
1 Ge 0.000 0.000 0.000
2 N 0.424 0.459 0.462
3 N 0.573 0.541 0.538
4 F 0.121 0.705 0.027
5 F 0.125 0.011 0.710
6 F 0.500 0.000 0.000
7 F 0.875 0.989 0.290
8 F 0.878 0.295 0.973

Values from the calculation:
Energy relative to the lowest polymorph listed for this composition: 0.0 meV per atom
Space group: No. 1
Volume: 17.991 Å³/atom
E_form (uncorrected): -1.38 eV/atom
N(E_F): 0.525 states/eV/atom
E_tot: -41.6 eV per cell
M_tot: 1.06 Bohr magnetons per cell


The following is a DFT calculation (PBE) of a geometry-optimized NaGeN2F structure.

Lattice parameters (Å, degrees): 4.419 4.419 3.939 90.00 90.00 90.00
Positions (direct):
1 Na 0.000 0.000 0.000
2 Ge 0.500 0.500 0.500
3 N 0.000 0.500 0.000
4 N 0.500 0.000 0.000
5 F 0.000 0.000 0.500

Values from the calculation:
Energy relative to the lowest polymorph listed for this composition: 1249.5 meV per atom
Space group: No. 123
Volume: 15.380 Å³/atom
E_form (uncorrected): 1.16 eV/atom
N(E_F): 0.318 states/eV/atom
E_tot: -18.6 eV per cell
M_tot: 4.00 Bohr magnetons per cell


The following is a DFT calculation (PBE) of a geometry-optimized NaGeN2F structure.

Lattice parameters (Å, degrees): 3.699 3.699 4.441 90.00 90.00 90.00
Positions (direct):
1 Na 0.000 0.000 0.000
2 Ge 0.500 0.500 0.500
3 N 0.000 0.500 0.500
4 N 0.500 0.000 0.500
5 F 0.500 0.500 0.000

Values from the calculation:
Energy relative to the lowest polymorph listed for this composition: 0.0 meV per atom
Space group: No. 123
Volume: 12.152 Å³/atom
E_form (uncorrected): -0.09 eV/atom
N(E_F): 0.475 states/eV/atom
E_tot: -24.9 eV per cell
M_tot: 0.40 Bohr magnetons per cell


The following is a DFT calculation (PBE) of a geometry-optimized NaGeNF2 structure.

Lattice parameters (Å, degrees): 4.241 4.241 3.442 90.00 90.00 90.00
Positions (direct):
1 Na 0.000 0.000 0.000
2 Ge 0.500 0.500 0.500
3 N 0.500 0.500 0.000
4 F 0.000 0.500 0.500
5 F 0.500 0.000 0.500

Values from the calculation:
Energy relative to the lowest polymorph listed for this composition: 0.0 meV per atom
Space group: No. 123
Volume: 12.381 Å³/atom
E_form (uncorrected): -1.27 eV/atom
N(E_F): 0.153 states/eV/atom
E_tot: -24.3 eV per cell
M_tot: 0.00 Bohr magnetons per cell


The following is a DFT calculation (PBE) of a geometry-optimized NaGeNF2 structure.

Lattice parameters (Å, degrees): 4.032 4.032 4.442 90.00 90.00 90.00
Positions (direct):
1 Na 0.000 0.000 0.000
2 Ge 0.500 0.500 0.500
3 N 0.000 0.000 0.500
4 F 0.000 0.500 0.000
5 F 0.500 0.000 0.000

Values from the calculation:
Energy relative to the lowest polymorph listed for this composition: 982.9 meV per atom
Space group: No. 123
Volume: 14.446 Å³/atom
E_form (uncorrected): -0.28 eV/atom
N(E_F): 0.265 states/eV/atom
E_tot: -19.4 eV per cell
M_tot: 2.00 Bohr magnetons per cell


The following is a DFT calculation (PBE) of a geometry-optimized NdGeN2F structure.

Lattice parameters (Å, degrees): 6.398 3.571 6.640 90.00 100.20 90.00
Positions (direct):
1 Nd 0.218 0.250 0.410
2 Nd 0.782 0.750 0.590
3 Ge 0.342 0.750 0.894
4 Ge 0.658 0.250 0.106
5 N 0.161 0.750 0.651
6 N 0.347 0.250 0.039
7 N 0.653 0.750 0.961
8 N 0.839 0.250 0.349
9 F 0.444 0.750 0.353
10 F 0.556 0.250 0.647

Values from the calculation:
Space group: No. 11
Volume: 14.932 Å³/atom
E_form (uncorrected): -1.34 eV/atom
N(E_F): 0.000 states/eV/atom
E_tot: -69.2 eV per cell
M_tot: 0.00 Bohr magnetons per cell


Q: Number 5 is which compound?
A: NaGeN2F